Entry 1:
# K2CaPd, optimized geometry, DFT PBE
# - Energy of formation: 29.72 kJ/mol of atoms
# - Total DFT energy (no corrections): -8.16 eV per formula unit
# - Polymorph energy (0 for the lowest one): 239.6 meV per atom
data_K2CaPd
_chemical_formula_sum 'K8 Ca4 Pd4'
_symmetry_space_group_name_H-M 'F m -3 m'
_symmetry_Int_Tables_number 225
_symmetry_space_group_name_Hall '-F 4 2 3'
_cell_length_a 8.281
_cell_length_b 8.281
_cell_length_c 8.281
_cell_angle_alpha 90.00
_cell_angle_beta 90.00
_cell_angle_gamma 90.00
loop_
_atom_site_label
_atom_site_type_symbol
_atom_site_fract_x
_atom_site_fract_y
_atom_site_fract_z
K1 K 0.250 0.250 0.250
Ca1 Ca 0.000 0.000 0.000
Pd1 Pd 0.000 0.000 0.500

=====

Entry 2:
# NpI3Br, optimized geometry, DFT PBE
# - Total DFT energy (no corrections): -23.37 eV per formula unit
# - Polymorph energy (0 for the lowest one): 26.7 meV per atom
data_NpI3Br
_chemical_formula_sum 'Np6 I18 Br6'
_symmetry_space_group_name_H-M 'R -3'
_symmetry_Int_Tables_number 148
_symmetry_space_group_name_Hall '-R 3'
_cell_length_a 8.2607
_cell_length_b 8.2607
_cell_length_c 23.8401
_cell_angle_alpha 90.00
_cell_angle_beta 90.00
_cell_angle_gamma 120.00
loop_
_atom_site_label
_atom_site_type_symbol
_atom_site_fract_x
_atom_site_fract_y
_atom_site_fract_z
Np1 Np 0.0000 0.0000 0.1944
I1 I 0.0143 0.7231 0.1089
Br1 Br 0.0000 0.0000 0.3075

=====

Entry 3:
# Y2HfAsPt, optimized geometry, DFT PBE
# - Energy of formation: 54.98 kJ/mol of atoms
# - Total DFT energy (no corrections): -30.72 eV per formula unit
# - Polymorph energy (0 for the lowest one): 864.4 meV per atom
data_Y2HfAsPt
_chemical_formula_sum 'Y2 Hf1 As1 Pt1'
_symmetry_space_group_name_H-M 'P 4/m m m'
_symmetry_Int_Tables_number 123
_symmetry_space_group_name_Hall '-P 4 2'
_cell_length_a 5.529
_cell_length_b 5.529
_cell_length_c 4.851
_cell_angle_alpha 90.00
_cell_angle_beta 90.00
_cell_angle_gamma 90.00
loop_
_atom_site_label
_atom_site_type_symbol
_atom_site_fract_x
_atom_site_fract_y
_atom_site_fract_z
Y1 Y 0.000 0.500 0.000
Hf1 Hf 0.000 0.000 0.000
As1 As 0.000 0.000 0.500
Pt1 Pt 0.500 0.500 0.500

=====

Entry 4:
# K2MgS2, optimized geometry, DFT PBE
# - Total DFT energy (no corrections): -17.65 eV per formula unit
data_K2MgS2
_chemical_formula_sum 'K8 Mg4 S8'
_symmetry_space_group_name_H-M 'C m c 21'
_symmetry_Int_Tables_number 36
_cell_length_a 3.764
_cell_length_b 14.012
_cell_length_c 10.900
_cell_angle_alpha 90.00
_cell_angle_beta 90.00
_cell_angle_gamma 90.00
loop_
_symmetry_equiv_pos_as_xyz
'x,y,z'
'-x,-y,z+1/2'
'-x,y,z'
'x,-y,z+1/2'
'x+1/2,y+1/2,z'
'-x+1/2,-y+1/2,z+1/2'
'-x+1/2,y+1/2,z'
'x+1/2,-y+1/2,z+1/2'
loop_
_atom_site_label
_atom_site_type_symbol
_atom_site_fract_x
_atom_site_fract_y
_atom_site_fract_z
K1 K 0.000 0.108 0.000
K2 K 0.000 0.351 0.181
Mg1 Mg 0.000 0.379 0.848
S1 S 0.000 0.021 0.262
S2 S 0.000 0.220 0.445

=====

Look up the total DFT energy (no corrections) of the second one. -23.37 eV per formula unit

=====

What is the formula in the third record? Y2HfAsPt

=====

Which of these has the highest total DFT energy (no corrections)? K2CaPd

=====

Copy entry 3 word for word.
# Y2HfAsPt, optimized geometry, DFT PBE
# - Energy of formation: 54.98 kJ/mol of atoms
# - Total DFT energy (no corrections): -30.72 eV per formula unit
# - Polymorph energy (0 for the lowest one): 864.4 meV per atom
data_Y2HfAsPt
_chemical_formula_sum 'Y2 Hf1 As1 Pt1'
_symmetry_space_group_name_H-M 'P 4/m m m'
_symmetry_Int_Tables_number 123
_symmetry_space_group_name_Hall '-P 4 2'
_cell_length_a 5.529
_cell_length_b 5.529
_cell_length_c 4.851
_cell_angle_alpha 90.00
_cell_angle_beta 90.00
_cell_angle_gamma 90.00
loop_
_atom_site_label
_atom_site_type_symbol
_atom_site_fract_x
_atom_site_fract_y
_atom_site_fract_z
Y1 Y 0.000 0.500 0.000
Hf1 Hf 0.000 0.000 0.000
As1 As 0.000 0.000 0.500
Pt1 Pt 0.500 0.500 0.500